The following is a DFT calculation (GGA-PBE) of an optimized crystal structure of LaZrPt.

```
LaZrPt
1.0
-4.1178 1.7847 1.5838
-0.4246 -3.6565 3.0165
3.4082 3.5833 4.8233
Pt Zr La
2 2 2
Direct
0.5000 0.0000 0.6941
0.0000 0.5000 0.3059
0.0000 0.0000 0.5000
0.5000 0.5000 0.5000
0.5000 0.0000 0.1200
0.0000 0.5000 0.8800
```

- Raw total energy: -0.26916 hartree per atom
- Energy of formation: -819 meV/atom
- Polymorph energy (0 for the lowest one): 0.000 eV per atom
- Space-group type: P4/nmm


The following is a DFT calculation (GGA-PBE) of an optimized crystal structure of ScAg2Cl.

```
ScAg2Cl
1.0
-3.7390 2.3954 -3.6243
-5.3407 -1.9635 0.6894
4.3824 2.8089 2.3997
Ag Sc Cl
2 1 1
Direct
0.0199 0.0199 0.0000
0.7508 0.2508 0.5000
0.2682 0.7682 0.5000
0.4610 0.4610 0.0000
```

- ΔE_f (raw): -0.32 eV per atom
- Raw total energy: -0.13936 hartree per atom
- Polymorph energy (0 for the lowest one): 0.238 eV per atom
- Space-group type: Imm2


The following is a DFT calculation (GGA-PBE) of an optimized crystal structure of Ca4HoIn5.

```
Ca4HoIn5
1.0
3.8456 0.0000 0.0000
0.0000 3.8456 0.0000
0.0000 0.0000 19.0052
Ca In Ho
4 5 1
Direct
0.0000 0.0000 0.3988
0.0000 0.0000 0.1982
0.0000 0.0000 0.6012
0.0000 0.0000 0.8018
0.5000 0.5000 0.2986
0.5000 0.5000 0.7014
0.5000 0.5000 0.5000
0.5000 0.5000 0.0949
0.5000 0.5000 0.9051
0.0000 0.0000 0.0000
```

- Raw total energy: -0.11361 hartree per atom
- Energy of formation: -464 meV/atom
- Space-group type: P4/mmm


Number 3 is which compound? Ca4HoIn5


Among the records above, which one has the highest raw total energy? Ca4HoIn5


What is the raw total energy in the second record? -0.13936 hartree per atom


The lowest raw total energy belongs to which entry? LaZrPt